Entry a
A relaxed structure of Lu2ThAg. Source: the Alexandria database, functional PBE.

CIF file:
```
data_Lu2ThAg
_chemical_formula_sum 'Lu2 Th1 Ag1'
_cell_length_a 3.587
_cell_length_b 3.587
_cell_length_c 8.265
_cell_angle_alpha 90.00
_cell_angle_beta 90.00
_cell_angle_gamma 90.00
_symmetry_space_group_name_H-M 'P 4/m m m'
_symmetry_Int_Tables_number 123
_symmetry_space_group_name_Hall '-P 4 2'
loop_
_atom_site_label
_atom_site_type_symbol
_atom_site_fract_x
_atom_site_fract_y
_atom_site_fract_z
Lu1 Lu 0.000 0.000 0.213
Th1 Th 0.500 0.500 0.500
Ag1 Ag 0.500 0.500 0.000
```

---

Entry b
A relaxed structure of Lu2ThAg. Source: the Alexandria database, functional PBE.

CIF file:
```
data_Lu2ThAg
_chemical_formula_sum 'Lu6 Th3 Ag3'
_cell_length_a 3.5284
_cell_length_b 3.5284
_cell_length_c 30.6042
_cell_angle_alpha 90.00
_cell_angle_beta 90.00
_cell_angle_gamma 120.00
_symmetry_space_group_name_H-M 'R -3 m'
_symmetry_Int_Tables_number 166
_symmetry_space_group_name_Hall '-R 3 2"'
loop_
_atom_site_label
_atom_site_type_symbol
_atom_site_fract_x
_atom_site_fract_y
_atom_site_fract_z
Lu1 Lu 0.0000 0.0000 0.2413
Th1 Th 0.0000 0.0000 0.0000
Ag1 Ag 0.0000 0.0000 0.5000
```

---

Top of the stability list: entry a, leading by 12.6 kJ/mol of atoms.

---

Entry a
A relaxed structure of LuTiAg2. Source: the Alexandria database, functional PBE.

CIF file:
```
data_LuTiAg2
_chemical_formula_sum 'Lu4 Ti4 Ag8'
_cell_length_a 6.867
_cell_length_b 6.867
_cell_length_c 6.867
_cell_angle_alpha 90.00
_cell_angle_beta 90.00
_cell_angle_gamma 90.00
_symmetry_space_group_name_H-M 'F m -3 m'
_symmetry_Int_Tables_number 225
_symmetry_space_group_name_Hall '-F 4 2 3'
loop_
_atom_site_label
_atom_site_type_symbol
_atom_site_fract_x
_atom_site_fract_y
_atom_site_fract_z
Lu1 Lu 0.000 0.000 0.000
Ti1 Ti 0.000 0.000 0.500
Ag1 Ag 0.250 0.250 0.250
```

---

Entry b
A relaxed structure of LuTiAg2. Source: the Alexandria database, functional PBE.

CIF file:
```
data_LuTiAg2
_chemical_formula_sum 'Lu1 Ti1 Ag2'
_cell_length_a 4.804
_cell_length_b 4.804
_cell_length_c 3.500
_cell_angle_alpha 90.00
_cell_angle_beta 90.00
_cell_angle_gamma 90.00
_symmetry_space_group_name_H-M 'P 4/m m m'
_symmetry_Int_Tables_number 123
_symmetry_space_group_name_Hall '-P 4 2'
loop_
_atom_site_label
_atom_site_type_symbol
_atom_site_fract_x
_atom_site_fract_y
_atom_site_fract_z
Lu1 Lu 0.000 0.000 0.000
Ti1 Ti 0.500 0.500 0.000
Ag1 Ag 0.000 0.500 0.500
```

---

Entry c
A relaxed structure of LuTiAg2. Source: the Alexandria database, functional PBE.

CIF file:
```
data_LuTiAg2
_chemical_formula_sum 'Lu1 Ti1 Ag2'
_cell_length_a 3.440
_cell_length_b 3.440
_cell_length_c 6.785
_cell_angle_alpha 90.00
_cell_angle_beta 90.00
_cell_angle_gamma 90.00
_symmetry_space_group_name_H-M 'P 4/m m m'
_symmetry_Int_Tables_number 123
_symmetry_space_group_name_Hall '-P 4 2'
loop_
_atom_site_label
_atom_site_type_symbol
_atom_site_fract_x
_atom_site_fract_y
_atom_site_fract_z
Lu1 Lu 0.000 0.000 0.000
Ti1 Ti 0.000 0.000 0.500
Ag1 Ag 0.500 0.500 0.272
```

---

Top of the stability list: entry c, leading by 1.4 kJ/mol of atoms.

---

Entry a
A relaxed structure of LuTl2Ag. Source: the Alexandria database, functional PBE.

CIF file:
```
data_LuTl2Ag
_chemical_formula_sum 'Lu4 Tl8 Ag4'
_cell_length_a 7.264
_cell_length_b 7.264
_cell_length_c 7.264
_cell_angle_alpha 90.00
_cell_angle_beta 90.00
_cell_angle_gamma 90.00
_symmetry_space_group_name_H-M 'F m -3 m'
_symmetry_Int_Tables_number 225
_symmetry_space_group_name_Hall '-F 4 2 3'
loop_
_atom_site_label
_atom_site_type_symbol
_atom_site_fract_x
_atom_site_fract_y
_atom_site_fract_z
Lu1 Lu 0.000 0.000 0.000
Tl1 Tl 0.250 0.250 0.250
Ag1 Ag 0.000 0.000 0.500
```

---

Entry b
A relaxed structure of LuTl2Ag. Source: the Alexandria database, functional PBE.

CIF file:
```
data_LuTl2Ag
_chemical_formula_sum 'Lu1 Tl2 Ag1'
_cell_length_a 4.803
_cell_length_b 4.803
_cell_length_c 4.182
_cell_angle_alpha 90.00
_cell_angle_beta 90.00
_cell_angle_gamma 90.00
_symmetry_space_group_name_H-M 'P 4/m m m'
_symmetry_Int_Tables_number 123
_symmetry_space_group_name_Hall '-P 4 2'
loop_
_atom_site_label
_atom_site_type_symbol
_atom_site_fract_x
_atom_site_fract_y
_atom_site_fract_z
Lu1 Lu 0.000 0.000 0.000
Tl1 Tl 0.000 0.500 0.500
Ag1 Ag 0.500 0.500 0.000
```

---

Top of the stability list: entry b, leading by 2.5 kJ/mol of atoms.

---

Entry a
A relaxed structure of LuTl2Ag. Source: the Alexandria database, functional PBE.

CIF file:
```
data_LuTl2Ag
_chemical_formula_sum 'Lu1 Tl2 Ag1'
_cell_length_a 3.623
_cell_length_b 3.623
_cell_length_c 7.380
_cell_angle_alpha 90.00
_cell_angle_beta 90.00
_cell_angle_gamma 90.00
_symmetry_space_group_name_H-M 'P 4/m m m'
_symmetry_Int_Tables_number 123
_symmetry_space_group_name_Hall '-P 4 2'
loop_
_atom_site_label
_atom_site_type_symbol
_atom_site_fract_x
_atom_site_fract_y
_atom_site_fract_z
Lu1 Lu 0.000 0.000 0.000
Tl1 Tl 0.500 0.500 0.267
Ag1 Ag 0.000 0.000 0.500
```

---

Entry b
A relaxed structure of LuTl2Ag. Source: the Alexandria database, functional PBE.

CIF file:
```
data_LuTl2Ag
_chemical_formula_sum 'Lu3 Tl6 Ag3'
_cell_length_a 3.4038
_cell_length_b 3.4038
_cell_length_c 32.9566
_cell_angle_alpha 90.00
_cell_angle_beta 90.00
_cell_angle_gamma 120.00
_symmetry_space_group_name_H-M 'R -3 m'
_symmetry_Int_Tables_number 166
_symmetry_space_group_name_Hall '-R 3 2"'
loop_
_atom_site_label
_atom_site_type_symbol
_atom_site_fract_x
_atom_site_fract_y
_atom_site_fract_z
Lu1 Lu 0.0000 0.0000 0.0000
Tl1 Tl 0.0000 0.0000 0.0941
Ag1 Ag 0.0000 0.0000 0.5000
```

---

Top of the stability list: entry a, leading by 20.7 kJ/mol of atoms.

---

Entry a
A relaxed structure of TmLu2Ag. Source: the Alexandria database, functional PBE.

CIF file:
```
data_TmLu2Ag
_chemical_formula_sum 'Tm4 Lu8 Ag4'
_cell_length_a 7.455
_cell_length_b 7.455
_cell_length_c 7.455
_cell_angle_alpha 90.00
_cell_angle_beta 90.00
_cell_angle_gamma 90.00
_symmetry_space_group_name_H-M 'F m -3 m'
_symmetry_Int_Tables_number 225
_symmetry_space_group_name_Hall '-F 4 2 3'
loop_
_atom_site_label
_atom_site_type_symbol
_atom_site_fract_x
_atom_site_fract_y
_atom_site_fract_z
Tm1 Tm 0.000 0.000 0.000
Lu1 Lu 0.250 0.250 0.250
Ag1 Ag 0.000 0.000 0.500
```

---

Entry b
A relaxed structure of TmLu2Ag. Source: the Alexandria database, functional PBE.

CIF file:
```
data_TmLu2Ag
_chemical_formula_sum 'Tm1 Lu2 Ag1'
_cell_length_a 3.483
_cell_length_b 3.483
_cell_length_c 8.697
_cell_angle_alpha 90.00
_cell_angle_beta 90.00
_cell_angle_gamma 90.00
_symmetry_space_group_name_H-M 'P 4/m m m'
_symmetry_Int_Tables_number 123
_symmetry_space_group_name_Hall '-P 4 2'
loop_
_atom_site_label
_atom_site_type_symbol
_atom_site_fract_x
_atom_site_fract_y
_atom_site_fract_z
Tm1 Tm 0.000 0.000 0.000
Lu1 Lu 0.500 0.500 0.284
Ag1 Ag 0.000 0.000 0.500
```

---

Top of the stability list: entry b, leading by 18.7 kJ/mol of atoms.

---

Entry a
A relaxed structure of TmLu2Ag. Source: the Alexandria database, functional PBE.

CIF file:
```
data_TmLu2Ag
_chemical_formula_sum 'Tm3 Lu6 Ag3'
_cell_length_a 3.3453
_cell_length_b 3.3453
_cell_length_c 34.3028
_cell_angle_alpha 90.00
_cell_angle_beta 90.00
_cell_angle_gamma 120.00
_symmetry_space_group_name_H-M 'R -3 m'
_symmetry_Int_Tables_number 166
_symmetry_space_group_name_Hall '-R 3 2"'
loop_
_atom_site_label
_atom_site_type_symbol
_atom_site_fract_x
_atom_site_fract_y
_atom_site_fract_z
Tm1 Tm 0.0000 0.0000 0.0000
Lu1 Lu 0.0000 0.0000 0.0970
Ag1 Ag 0.0000 0.0000 0.5000
```

---

Entry b
A relaxed structure of TmLu2Ag. Source: the Alexandria database, functional PBE.

CIF file:
```
data_TmLu2Ag
_chemical_formula_sum 'Tm1 Lu2 Ag1'
_cell_length_a 4.683
_cell_length_b 4.683
_cell_length_c 4.715
_cell_angle_alpha 90.00
_cell_angle_beta 90.00
_cell_angle_gamma 90.00
_symmetry_space_group_name_H-M 'P 4/m m m'
_symmetry_Int_Tables_number 123
_symmetry_space_group_name_Hall '-P 4 2'
loop_
_atom_site_label
_atom_site_type_symbol
_atom_site_fract_x
_atom_site_fract_y
_atom_site_fract_z
Tm1 Tm 0.000 0.000 0.000
Lu1 Lu 0.000 0.500 0.500
Ag1 Ag 0.500 0.500 0.000
```

---

Top of the stability list: entry b, leading by 19.6 kJ/mol of atoms.